[1]
The following is a DFT calculation (SCAN) of a crystal of BaMo3Pt relaxed with PBEsol.

a b c (Å): 4.901 4.901 4.901
angles (deg): 90.00 90.00 90.00
Positions (direct):
Ba 0.000 0.000 0.000
Mo 0.000 0.500 0.500
Mo 0.500 0.000 0.500
Mo 0.500 0.500 0.000
Pt 0.500 0.500 0.500

Output
Energy of formation (eV per atom): 1.3917
Space-group type: No. 221
DOS at the Fermi energy (states/eV per cell): 5.0
Crystal system: cubic

[2]
The following is a DFT calculation (SCAN) of a crystal of TaNi2Rh relaxed with PBEsol.

a b c (Å): 4.562 4.562 4.562
angles (deg): 132.27 132.27 69.80
Positions (direct):
Ta 0.000 0.000 0.000
Ni 0.250 0.750 0.500
Ni 0.750 0.250 0.500
Rh 0.500 0.500 0.000

Output
Energy of formation (eV per atom): -0.4071
Space-group type: No. 139
DOS at the Fermi energy (states/eV per cell): 3.7
Crystal system: tetragonal

[3]
The following is a DFT calculation (SCAN) of a crystal of Cs3CrPb relaxed with PBEsol.

a b c (Å): 6.796 6.796 6.796
angles (deg): 90.00 90.00 90.00
Positions (direct):
Cs 0.000 0.000 0.500
Cs 0.000 0.500 0.000
Cs 0.500 0.000 0.000
Cr 0.000 0.000 0.000
Pb 0.500 0.500 0.500

Output
Energy of formation (eV per atom): 0.6001
Space-group type: No. 221
DOS at the Fermi energy (states/eV per cell): 4.9
Crystal system: cubic

[4]
The following is a DFT calculation (SCAN) of a crystal of NaCa2Zn relaxed with PBEsol.

a b c (Å): 5.434 5.434 5.434
angles (deg): 60.00 60.00 60.00
Positions (direct):
Na 0.000 0.000 0.000
Ca 0.250 0.250 0.250
Ca 0.750 0.750 0.750
Zn 0.500 0.500 0.500

Output
Energy of formation (eV per atom): -0.0176
Space-group type: No. 225
DOS at the Fermi energy (states/eV per cell): 4.7
Crystal system: cubic